The following is a PBE-GGA calculation of Tb2DyHg after structural relaxation, from Alexandria via LeMat-Bulk.

crystal system	orthorhombic
excess energy over the best structure of this formula in the dataset	23.2	meV per atom

Lattice parameters (Å, degrees): 6.736 6.937 10.170 90.00 90.00 90.00
Fractional positions:
Hg (0.449, 0.912, 0.250)
Tb (0.189, 0.698, 0.459)
Dy (0.391, 0.507, 0.750)
Tb (0.311, 0.198, 0.041)
Dy (0.609, 0.493, 0.250)
Tb (0.189, 0.698, 0.041)
Tb (0.811, 0.302, 0.959)
Hg (0.551, 0.088, 0.750)
Tb (0.689, 0.802, 0.959)
Hg (0.051, 0.412, 0.250)
Tb (0.811, 0.302, 0.541)
Dy (0.891, 0.993, 0.250)
Tb (0.311, 0.198, 0.459)
Dy (0.109, 0.007, 0.750)
Tb (0.689, 0.802, 0.541)
Hg (0.949, 0.588, 0.750)

The following is a PBE-GGA calculation of TbDy2Hg after structural relaxation, from Alexandria via LeMat-Bulk.

crystal system	tetragonal
excess energy over the best structure of this formula in the dataset	72.4	meV per atom

Lattice parameters (Å, degrees): 4.799 4.811 4.811 90.00 90.00 90.00
Fractional positions:
Dy (0.000, 0.500, 0.000)
Tb (0.500, 0.500, 0.500)
Hg (0.500, 0.000, 0.000)
Dy (0.000, 0.000, 0.500)

The following is a PBE-GGA calculation of Tb2DyHg8 after structural relaxation, from Alexandria via LeMat-Bulk.

VASP energy	-1.800	eV/atom
crystal system	monoclinic

Lattice parameters (Å, degrees): 4.952 7.236 8.371 108.56 107.21 90.00
Fractional positions:
Hg (0.597, 0.453, 0.194)
Hg (0.027, 0.730, 0.055)
Hg (0.850, 0.820, 0.700)
Tb (0.786, 0.344, 0.572)
Hg (0.329, 0.100, 0.658)
Dy (0.500, 0.000, 0.000)
Hg (0.671, 0.900, 0.342)
Hg (0.403, 0.547, 0.806)
Hg (0.150, 0.180, 0.300)
Tb (0.214, 0.656, 0.428)
Hg (0.973, 0.270, 0.945)

The following is a PBE-GGA calculation of Tb2DyHg2 after structural relaxation, from Alexandria via LeMat-Bulk.

crystal system	tetragonal
excess energy over the best structure of this formula in the dataset	3.1	meV per atom

Lattice parameters (Å, degrees): 3.840 8.497 8.497 90.00 90.00 90.00
Fractional positions:
Tb (0.500, 0.334, 0.166)
Hg (0.000, 0.633, 0.133)
Dy (0.000, 0.500, 0.500)
Hg (0.000, 0.133, 0.367)
Dy (0.000, 0.000, 0.000)
Tb (0.500, 0.834, 0.334)
Hg (0.000, 0.867, 0.633)
Tb (0.500, 0.166, 0.666)
Tb (0.500, 0.666, 0.834)
Hg (0.000, 0.367, 0.867)

The following is a PBE-GGA calculation of Tb2DyHg after structural relaxation, from Alexandria via LeMat-Bulk.

crystal system	trigonal
excess energy over the best structure of this formula in the dataset	70.8	meV per atom

Lattice parameters (Å, degrees): 3.647 3.647 10.697 80.18 80.18 60.05
Fractional positions:
Hg (0.666, 0.666, 0.000)
Dy (0.500, 0.500, 0.500)
Tb (0.257, 0.257, 0.229)
Tb (0.077, 0.077, 0.771)

The following is a PBE-GGA calculation of TbDyHg2 after structural relaxation, from Alexandria via LeMat-Bulk.

crystal system	cubic
excess energy over the best structure of this formula in the dataset	1.6	meV per atom

Lattice parameters (Å, degrees): 5.274 5.274 5.274 60.00 60.00 60.00
Fractional positions:
Hg (0.250, 0.250, 0.250)
Dy (0.500, 0.500, 0.500)
Hg (0.750, 0.750, 0.750)
Tb (0.000, 0.000, 0.000)

The following is a PBE-GGA calculation of Tb9Dy4Hg11 after structural relaxation, from Alexandria via LeMat-Bulk.

VASP energy	-3.018	eV/atom
crystal system	orthorhombic

Lattice parameters (Å, degrees): 3.558 13.762 13.762 109.90 90.00 90.00
Fractional positions:
Hg (0.000, 0.227, 0.227)
Tb (0.500, 0.622, 0.149)
Tb (0.500, 0.025, 0.204)
Hg (0.000, 0.000, 0.000)
Tb (0.500, 0.851, 0.378)
Hg (0.000, 0.629, 0.371)
Tb (0.500, 0.500, 0.500)
Hg (0.000, 0.588, 0.944)
Dy (0.500, 0.425, 0.252)
Tb (0.500, 0.975, 0.796)
Hg (0.000, 0.823, 0.177)
Hg (0.000, 0.371, 0.629)
Tb (0.500, 0.204, 0.025)
Dy (0.500, 0.748, 0.575)
Dy (0.500, 0.252, 0.425)
Tb (0.500, 0.149, 0.622)
Tb (0.500, 0.796, 0.975)
Hg (0.000, 0.412, 0.056)
Hg (0.000, 0.773, 0.773)
Hg (0.000, 0.177, 0.823)
Hg (0.000, 0.056, 0.412)
Hg (0.000, 0.944, 0.588)
Tb (0.500, 0.378, 0.851)
Dy (0.500, 0.575, 0.748)

The following is a PBE-GGA calculation of Tb6DyHg after structural relaxation, from Alexandria via LeMat-Bulk.

VASP energy	-4.095	eV/atom
crystal system	trigonal

Lattice parameters (Å, degrees): 9.273 8.554 6.308 47.32 42.67 57.15
Fractional positions:
Tb (0.559, 0.241, 0.160)
Tb (0.040, 0.441, 0.759)
Tb (0.759, 0.960, 0.722)
Tb (0.241, 0.040, 0.278)
Dy (0.500, 0.500, 0.500)
Hg (0.000, 0.000, 0.000)
Tb (0.441, 0.759, 0.840)
Tb (0.960, 0.559, 0.241)

The following is a PBE-GGA calculation of Tb5Dy12Hg2 after structural relaxation, from Alexandria via LeMat-Bulk.

VASP energy	-4.092	eV/atom
crystal system	monoclinic

Lattice parameters (Å, degrees): 8.747 11.043 8.987 127.28 90.00 113.33
Fractional positions:
Dy (0.066, 0.763, 0.050)
Tb (0.270, 0.539, 0.968)
Dy (0.697, 0.763, 0.050)
Tb (0.680, 0.360, 0.315)
Dy (0.303, 0.237, 0.950)
Dy (0.506, 0.012, 0.698)
Dy (0.114, 0.663, 0.374)
Tb (0.000, 0.000, 0.500)
Tb (0.730, 0.461, 0.032)
Dy (0.452, 0.337, 0.626)
Dy (0.934, 0.237, 0.950)
Dy (0.917, 0.834, 0.752)
Tb (0.320, 0.640, 0.685)
Dy (0.494, 0.988, 0.302)
Dy (0.886, 0.337, 0.626)
Dy (0.548, 0.663, 0.374)
Dy (0.083, 0.166, 0.248)
Hg (0.676, 0.000, 0.000)
Hg (0.324, 0.000, 0.000)

The following is a PBE-GGA calculation of Tb3DyHg4 after structural relaxation, from Alexandria via LeMat-Bulk.

crystal system	monoclinic
excess energy over the best structure of this formula in the dataset	190.7	meV per atom

Lattice parameters (Å, degrees): 5.328 5.996 7.601 106.65 110.51 90.00
Fractional positions:
Tb (0.000, 0.500, 0.000)
Hg (0.260, 0.669, 0.520)
Dy (0.500, 0.000, 0.000)
Hg (0.611, 0.646, 0.223)
Tb (0.169, 0.081, 0.338)
Hg (0.389, 0.354, 0.777)
Tb (0.831, 0.919, 0.662)
Hg (0.740, 0.331, 0.480)

The following is a PBE-GGA calculation of Tb3Dy2Hg2 after structural relaxation, from Alexandria via LeMat-Bulk.

crystal system	trigonal
excess energy over the best structure of this formula in the dataset	0.0	meV per atom

Lattice parameters (Å, degrees): 5.358 5.362 8.512 108.33 90.00 119.98
Fractional positions:
Dy (0.075, 0.150, 0.725)
Tb (0.658, 0.316, 0.474)
Tb (0.500, 0.000, 0.000)
Hg (0.213, 0.426, 0.139)
Tb (0.342, 0.684, 0.526)
Dy (0.925, 0.850, 0.275)
Hg (0.787, 0.574, 0.861)

The following is a PBE-GGA calculation of TbDy2Hg after structural relaxation, from Alexandria via LeMat-Bulk.

crystal system	cubic
excess energy over the best structure of this formula in the dataset	186.2	meV per atom

Lattice parameters (Å, degrees): 5.399 5.399 5.399 60.00 60.00 60.00
Fractional positions:
Tb (0.000, 0.000, 0.000)
Hg (0.500, 0.500, 0.500)
Dy (0.750, 0.750, 0.750)
Dy (0.250, 0.250, 0.250)

The following is a PBE-GGA calculation of TbDy12Hg6 after structural relaxation, from Alexandria via LeMat-Bulk.

VASP energy	-3.423	eV/atom
crystal system	trigonal

Lattice parameters (Å, degrees): 8.108 8.108 8.108 87.21 87.21 87.21
Fractional positions:
Hg (0.722, 0.883, 0.261)
Dy (0.197, 0.458, 0.567)
Dy (0.376, 0.027, 0.159)
Dy (0.624, 0.973, 0.841)
Tb (0.000, 0.000, 0.000)
Dy (0.542, 0.433, 0.803)
Hg (0.278, 0.117, 0.739)
Hg (0.261, 0.722, 0.883)
Hg (0.117, 0.739, 0.278)
Dy (0.841, 0.624, 0.973)
Hg (0.739, 0.278, 0.117)
Dy (0.159, 0.376, 0.027)
Dy (0.973, 0.841, 0.624)
Hg (0.883, 0.261, 0.722)
Dy (0.027, 0.159, 0.376)
Dy (0.803, 0.542, 0.433)
Dy (0.458, 0.567, 0.197)
Dy (0.433, 0.803, 0.542)
Dy (0.567, 0.197, 0.458)

The following is a PBE-GGA calculation of Tb2DyHg3 after structural relaxation, from Alexandria via LeMat-Bulk.

VASP energy	-2.941	eV/atom
crystal system	trigonal

Lattice parameters (Å, degrees): 5.272 5.272 6.482 90.00 90.00 120.00
Fractional positions:
Tb (0.667, 0.333, 0.332)
Tb (0.333, 0.667, 0.668)
Hg (0.000, 0.000, 0.500)
Dy (0.000, 0.000, 0.000)
Hg (0.333, 0.667, 0.166)
Hg (0.667, 0.333, 0.834)

The following is a PBE-GGA calculation of Tb2DyHg after structural relaxation, from Alexandria via LeMat-Bulk.

crystal system	cubic
excess energy over the best structure of this formula in the dataset	172.9	meV per atom

Lattice parameters (Å, degrees): 5.409 5.409 5.409 60.00 60.00 60.00
Fractional positions:
Dy (0.000, 0.000, 0.000)
Tb (0.750, 0.750, 0.750)
Tb (0.250, 0.250, 0.250)
Hg (0.500, 0.500, 0.500)

The following is a PBE-GGA calculation of Tb5Dy2Hg after structural relaxation, from Alexandria via LeMat-Bulk.

VASP energy	-4.127	eV/atom
crystal system	tetragonal

Lattice parameters (Å, degrees): 6.981 6.981 6.962 120.09 120.09 90.00
Fractional positions:
Tb (0.722, 0.722, 0.444)
Dy (0.722, 0.222, 0.444)
Tb (0.722, 0.222, 0.944)
Tb (0.222, 0.722, 0.944)
Tb (0.722, 0.722, 0.945)
Hg (0.222, 0.222, 0.444)
Dy (0.222, 0.722, 0.444)
Tb (0.222, 0.222, 0.944)

The following is a PBE-GGA calculation of TbDy3Hg2 after structural relaxation, from Alexandria via LeMat-Bulk.

crystal system	tetragonal
excess energy over the best structure of this formula in the dataset	57.1	meV per atom

Lattice parameters (Å, degrees): 3.672 3.672 12.439 90.00 90.00 90.00
Fractional positions:
Dy (0.000, 0.000, 0.000)
Dy (0.000, 0.000, 0.304)
Tb (0.500, 0.500, 0.500)
Hg (0.500, 0.500, 0.848)
Dy (0.000, 0.000, 0.696)
Hg (0.500, 0.500, 0.152)

The following is a PBE-GGA calculation of Tb2DyHg3 after structural relaxation, from Alexandria via LeMat-Bulk.

VASP energy	-2.941	eV/atom
crystal system	trigonal

Lattice parameters (Å, degrees): 5.272 5.272 12.965 90.00 90.00 120.00
Fractional positions:
Hg (0.000, 0.000, 0.251)
Hg (0.000, 0.000, 0.749)
Dy (0.667, 0.333, 0.333)
Tb (0.000, 0.000, 0.500)
Tb (0.667, 0.333, 0.833)
Tb (0.000, 0.000, 0.000)
Dy (0.333, 0.667, 0.667)
Hg (0.667, 0.333, 0.583)
Tb (0.333, 0.667, 0.167)
Hg (0.333, 0.667, 0.417)
Hg (0.333, 0.667, 0.916)
Hg (0.667, 0.333, 0.084)

The following is a PBE-GGA calculation of Tb4Dy3Hg4 after structural relaxation, from Alexandria via LeMat-Bulk.

VASP energy	-3.286	eV/atom
crystal system	orthorhombic

Lattice parameters (Å, degrees): 5.203 7.108 9.555 111.83 105.80 90.00
Fractional positions:
Tb (0.679, 0.915, 0.358)
Dy (0.901, 0.901, 0.802)
Hg (0.180, 0.680, 0.359)
Tb (0.321, 0.558, 0.642)
Dy (0.000, 0.500, 0.000)
Dy (0.099, 0.099, 0.198)
Tb (0.679, 0.442, 0.358)
Hg (0.820, 0.320, 0.641)
Tb (0.321, 0.085, 0.642)
Hg (0.500, 0.210, 0.000)
Hg (0.500, 0.790, 0.000)

The following is a PBE-GGA calculation of Tb3DyHg2 after structural relaxation, from Alexandria via LeMat-Bulk.

crystal system	orthorhombic
excess energy over the best structure of this formula in the dataset	263.4	meV per atom

Lattice parameters (Å, degrees): 7.118 7.507 8.897 114.95 113.58 90.00
Fractional positions:
Tb (0.228, 0.478, 0.456)
Hg (0.560, 0.360, 0.721)
Dy (0.000, 0.000, 0.000)
Tb (0.228, 0.978, 0.456)
Tb (0.772, 0.022, 0.544)
Tb (0.500, 0.250, 0.000)
Hg (0.440, 0.640, 0.279)
Tb (0.772, 0.522, 0.544)
Tb (0.500, 0.750, 0.000)
Dy (0.000, 0.500, 0.000)
Hg (0.840, 0.140, 0.279)
Hg (0.160, 0.860, 0.721)